This record from Alexandria describes AlMoIN2 at its PBEsol-relaxed geometry. The functional is meta-GGA SCAN.

a = 3.9702 Å, b = 3.9702 Å, c = 5.5538 Å
α = 90.00°, β = 90.00°, γ = 90.00°
Fractional positions:
Al (0.0000, 0.0000, 0.0000)
Mo (0.5000, 0.5000, 0.5000)
I (0.5000, 0.5000, 0.0000)
N (0.0000, 0.5000, 0.5000)
N (0.5000, 0.0000, 0.5000)

Values from the calculation:
- size of the total moment (μB/f.u.) = 0.11
- raw formation energy (eV/atom) = 0.70